Record 1
First-principles (PBE-GGA) data for a relaxed structure of CeSc2Rh, as listed in Alexandria via LeMat-Bulk.

Output
* ΔH_f (0 K): -0.4630 eV/atom
* volume: 23.4 Å³ per atom
* theoretical density: 5.9 g cm⁻³

Cell and atoms, written as CIF:
```
data_CeSc2Rh
_space_group_name_H-M_alt 'P n m a'
_space_group_IT_number 62
_cell_length_a 6.860
_cell_length_b 9.010
_cell_length_c 6.056
_cell_angle_alpha 90.00
_cell_angle_beta 90.00
_cell_angle_gamma 90.00
loop_
_space_group_symop_operation_xyz
'x,y,z'
'-x,-y,-z'
'-x+1/2,-y,z+1/2'
'x+1/2,y,-z+1/2'
'x+1/2,-y+1/2,-z+1/2'
'-x+1/2,y+1/2,z+1/2'
'-x,y+1/2,-z'
'x,-y+1/2,z'
loop_
_atom_site_label
_atom_site_type_symbol
_atom_site_fract_x
_atom_site_fract_y
_atom_site_fract_z
Ce1 Ce 0.036 0.250 0.135
Sc1 Sc 0.178 0.062 0.659
Rh1 Rh 0.124 0.750 0.435
```


Record 2
First-principles (PBE-GGA) data for a relaxed structure of CeThScIn, as listed in Alexandria via LeMat-Bulk.

Output
* ΔH_f (0 K): -0.1972 eV/atom
* volume: 26.8 Å³ per atom
* theoretical density: 8.2 g cm⁻³

Cell and atoms, written as CIF:
```
data_CeThScIn
_space_group_name_H-M_alt 'P m m m'
_space_group_IT_number 47
_cell_length_a 4.580
_cell_length_b 4.649
_cell_length_c 5.037
_cell_angle_alpha 90.00
_cell_angle_beta 90.00
_cell_angle_gamma 90.00
loop_
_space_group_symop_operation_xyz
'x,y,z'
'-x,-y,-z'
'-x,-y,z'
'x,y,-z'
'x,-y,-z'
'-x,y,z'
'-x,y,-z'
'x,-y,z'
loop_
_atom_site_label
_atom_site_type_symbol
_atom_site_fract_x
_atom_site_fract_y
_atom_site_fract_z
Ce1 Ce 0.000 0.000 0.000
Th1 Th 0.500 0.500 0.000
Sc1 Sc 0.500 0.000 0.500
In1 In 0.000 0.500 0.500
```


Record 3
First-principles (PBE-GGA) data for a relaxed structure of MnOsRh2, as listed in Alexandria via LeMat-Bulk.

Output
* ΔH_f (0 K): 0.0203 eV/atom
* volume: 13.5 Å³ per atom
* theoretical density: 13.8 g cm⁻³

Cell and atoms, written as CIF:
```
data_MnOsRh2
_space_group_name_H-M_alt 'P 4 m m'
_space_group_IT_number 99
_cell_length_a 2.684
_cell_length_b 2.684
_cell_length_c 7.516
_cell_angle_alpha 90.00
_cell_angle_beta 90.00
_cell_angle_gamma 90.00
loop_
_space_group_symop_operation_xyz
'x,y,z'
'-y,x,z'
'-x,-y,z'
'y,-x,z'
'-x,y,z'
'y,x,z'
'x,-y,z'
'-y,-x,z'
loop_
_atom_site_label
_atom_site_type_symbol
_atom_site_fract_x
_atom_site_fract_y
_atom_site_fract_z
Mn1 Mn 0.000 0.000 0.000
Os1 Os 0.500 0.500 0.239
Rh1 Rh 0.000 0.000 0.494
Rh2 Rh 0.500 0.500 0.764
```